Record 1
Entry from the Alexandria database: crystalline Tb2ErGa2Cu2 at its relaxed geometry (PBE-GGA).

Cell: 4.362 4.362 9.515 Å, 76.75 76.75 60.00°
Atoms (fractional coordinates):
Tb  0.877  0.877  0.370
Ga  0.266  0.266  0.203
Cu  0.395  0.395  0.814
Er  0.000  0.000  0.000
Cu  0.605  0.605  0.186
Ga  0.734  0.734  0.797
Tb  0.123  0.123  0.630

For the calculated formation energy, the calculation gives -398 meV per atom. As for the space group: No. 166.

---

Record 2
Entry from the Alexandria database: crystalline La2Rh17 at its relaxed geometry (PBE-GGA).

Cell: 6.830 6.830 6.830 Å, 83.11 83.11 83.11°
Atoms (fractional coordinates):
Rh  0.000  0.000  0.500
Rh  0.500  0.000  0.000
Rh  0.900  0.900  0.900
La  0.340  0.340  0.340
Rh  0.295  0.705  0.000
Rh  0.295  0.000  0.705
Rh  0.348  0.348  0.848
Rh  0.705  0.295  0.000
Rh  0.652  0.652  0.152
Rh  0.348  0.848  0.348
Rh  0.000  0.500  0.000
Rh  0.000  0.705  0.295
Rh  0.152  0.652  0.652
Rh  0.705  0.000  0.295
La  0.660  0.660  0.660
Rh  0.652  0.152  0.652
Rh  0.000  0.295  0.705
Rh  0.100  0.100  0.100
Rh  0.848  0.348  0.348

For the calculated formation energy, the calculation gives -147 meV per atom. As for the space group: No. 166.

---

Record 3
Entry from the Alexandria database: crystalline K3Tl7Hg4 at its relaxed geometry (PBE-GGA).

Cell: 5.273 9.869 10.164 Å, 66.68 74.97 74.50°
Atoms (fractional coordinates):
Hg  0.135  0.081  0.650
K  0.000  0.500  0.500
K  0.297  0.200  0.205
Tl  0.333  0.817  0.518
Tl  0.502  0.812  0.184
Tl  0.667  0.183  0.482
Hg  0.865  0.919  0.350
Hg  0.658  0.471  0.213
Tl  0.851  0.369  0.929
Tl  0.149  0.631  0.071
Hg  0.342  0.529  0.787
Tl  0.000  0.000  0.000
K  0.703  0.800  0.795
Tl  0.498  0.188  0.816

For the calculated formation energy, the calculation gives -121 meV per atom. As for the space group: No. 12.

---

Record 4
Entry from the Alexandria database: crystalline YMgFe3 at its relaxed geometry (PBE-GGA).

Cell: 4.763 4.763 4.763 Å, 90.00 90.00 90.00°
Last column: magnetic moment on the atom in μB.
Atoms (fractional coordinates):
Fe  0.000  0.000  0.500  2.39
Y  0.000  0.000  0.000  -0.42
Mg  0.500  0.500  0.500  -0.02
Fe  0.500  0.000  0.000  2.45
Fe  0.000  0.500  0.000  2.42

For the calculated formation energy, the calculation gives 1537 meV per atom. For the excess energy over the best structure of this formula in the dataset, the calculation gives 537.5 meV per atom. As for the space group: No. 221.

---

Question: Which of these has the highest calculated formation energy?
Answer: YMgFe3

---

Question: The lowest calculated formation energy belongs to which entry?
Answer: Tb2ErGa2Cu2